Entry 1:
TcH2OsAu: relaxed, PBE.

Lattice parameters (Å, degrees): 3.700 3.700 4.822 90.00 90.00 90.00
Element x y z (fractional)
Tc 0.000 0.000 0.000
H 0.000 0.500 0.000
H 0.500 0.000 0.000
Os 0.000 0.000 0.500
Au 0.500 0.500 0.500

***

Entry 2:
Ti2HOsAu: relaxed, PBE.

Lattice parameters (Å, degrees): 4.125 4.125 3.816 90.00 90.00 90.00
Element x y z (fractional)
Ti 0.000 0.500 0.000
Ti 0.500 0.000 0.000
H 0.000 0.000 0.000
Os 0.000 0.000 0.500
Au 0.500 0.500 0.500

***

Entry 3:
YH2OsAu: relaxed, PBE.

Lattice parameters (Å, degrees): 3.897 3.897 5.408 90.00 90.00 90.00
Element x y z (fractional)
Y 0.000 0.000 0.000
H 0.000 0.500 0.500
H 0.500 0.000 0.500
Os 0.000 0.000 0.500
Au 0.500 0.500 0.000

***

Calculated volume
In order: 13.21; 12.99; 16.43
Unit: A^3/atom
VASP energy
In order: -5.353; -7.060; -4.993
Unit: eV per atom